# 1
First-principles (meta-GGA SCAN) data for a crystal of Be2TlCo relaxed with PBEsol, as listed in Alexandria.

Properties
- final energy (eV/atom) = -24.234
- energy relative to the lowest polymorph listed for this composition (meV/atom) = 0
- E_form (meV/atom) = 359

```
data_Be2TlCo
_chemical_formula_sum 'Be2 Tl1 Co1'
_space_group_name_H-M_alt 'P 4/m m m'
_space_group_IT_number 123
_space_group_name_Hall '-P 4 2'
_cell_length_a 3.716
_cell_length_b 3.716
_cell_length_c 3.483
_cell_angle_alpha 90.00
_cell_angle_beta 90.00
_cell_angle_gamma 90.00
loop_
_atom_site_label
_atom_site_type_symbol
_atom_site_fract_x
_atom_site_fract_y
_atom_site_fract_z
_atom_site_occupancy
Be1 Be 0.000 0.500 0.000 1
Tl1 Tl 0.000 0.000 0.500 1
Co1 Co 0.500 0.500 0.500 1
```



# 2
First-principles (meta-GGA SCAN) data for a crystal of TaOsSe2N relaxed with PBEsol, as listed in Alexandria.

Properties
- final energy (eV/atom) = -35.769
- ΔE_f (raw) (eV/atom) = 1.81

```
data_TaOsSe2N
_chemical_formula_sum 'Ta1 Os1 Se2 N1'
_space_group_name_H-M_alt 'P 4/m m m'
_space_group_IT_number 123
_space_group_name_Hall '-P 4 2'
_cell_length_a 4.962
_cell_length_b 4.962
_cell_length_c 4.940
_cell_angle_alpha 90.00
_cell_angle_beta 90.00
_cell_angle_gamma 90.00
loop_
_atom_site_label
_atom_site_type_symbol
_atom_site_fract_x
_atom_site_fract_y
_atom_site_fract_z
_atom_site_occupancy
Ta1 Ta 0.000 0.000 0.000 1
Os1 Os 0.000 0.000 0.500 1
Se1 Se 0.000 0.500 0.000 1
N1 N 0.500 0.500 0.500 1
```



# 3
First-principles (meta-GGA SCAN) data for a crystal of FeH relaxed with PBEsol, as listed in Alexandria.

Properties
- final energy (eV/atom) = -10.781

```
data_FeH
_chemical_formula_sum 'Fe4 H4'
_space_group_name_H-M_alt 'F m -3 m'
_space_group_IT_number 225
_space_group_name_Hall '-F 4 2 3'
_cell_length_a 3.683
_cell_length_b 3.683
_cell_length_c 3.683
_cell_angle_alpha 90.00
_cell_angle_beta 90.00
_cell_angle_gamma 90.00
loop_
_atom_site_label
_atom_site_type_symbol
_atom_site_fract_x
_atom_site_fract_y
_atom_site_fract_z
_atom_site_occupancy
Fe1 Fe 0.000 0.000 0.000 1
H1 H 0.000 0.000 0.500 1
```



Magnetic moment (μB per atom)
0.33 1.20 1.19